# PrY2Ho2Tm2

A relaxed PrY2Ho2Tm2 crystal (PBE, Alexandria).

extended XYZ file:
```
7
Lattice="5.889 0.000 0.000 -2.945 4.202 2.178 0.000 1.038 9.622" Properties=species:S:1:pos:R:3 pbc="T T T"
Y 2.945 1.230 6.542
Y 0.000 4.010 5.258
Pr 0.000 0.519 4.811
Tm 2.945 3.232 3.606
Tm 0.000 2.008 8.195
Ho 2.945 2.776 9.882
Ho 0.000 2.464 1.919
```

Computed properties:
- total energy (eV/atom) = -4.989
- space-group type = C2/m (12)
- crystal system = monoclinic

# PrY6Ho2Tm

A relaxed PrY6Ho2Tm crystal (PBE, Alexandria).

extended XYZ file:
```
20
Lattice="9.241 -2.071 -2.149 0.691 8.511 -1.937 0.691 -2.251 8.434" Properties=species:S:1:pos:R:3 pbc="T T T"
Ho 9.870 2.244 3.397
Ho 5.249 4.347 3.443
Ho 0.753 1.946 0.951
Ho 5.373 -0.157 0.905
Y 2.094 4.468 -1.303
Y 3.907 6.693 1.006
Y 1.117 -0.800 5.998
Y 8.685 -0.450 1.783
Y 9.505 4.990 -1.650
Y 4.884 -0.798 6.000
Y 8.528 -0.278 5.651
Y 1.938 4.640 2.566
Y 6.715 -2.503 3.342
Y 5.738 4.988 -1.652
Y 4.064 2.833 0.691
Y 6.558 1.357 3.657
Pr 7.621 2.599 0.652
Pr 3.001 1.591 3.696
Tm 7.621 -3.551 6.579
Tm 3.001 7.741 -2.231
```

Computed properties:
- total energy (eV/atom) = -5.597
- space-group type = C2/c (15)
- crystal system = monoclinic

# PrY2HoTm

A relaxed PrY2HoTm crystal (PBE, Alexandria).

extended XYZ file:
```
10
Lattice="-5.723 1.027 -4.313 3.678 -4.644 -5.986 -4.303 -2.396 5.139" Properties=species:S:1:pos:R:3 pbc="T T T"
Ho -1.432 0.255 -1.077
Ho -4.916 -6.268 -4.082
Y -0.320 -2.695 -6.292
Y 2.541 -3.208 -4.136
Y 1.137 -1.436 -1.851
Y -1.724 -0.922 -4.007
Pr -0.730 -4.244 -3.080
Pr -5.618 -1.769 -2.080
Tm -3.548 -3.648 -5.274
Tm -2.800 -2.365 0.114
```

Computed properties:
- total energy (eV/atom) = -4.968
- space-group type = Cmcm (63)
- crystal system = orthorhombic

# Pr2Y6Ho3Tm

A relaxed Pr2Y6Ho3Tm crystal (PBE, Alexandria).

extended XYZ file:
```
12
Lattice="-4.077 3.466 3.116 -1.783 -3.049 -5.086 -0.913 -9.374 7.190" Properties=species:S:1:pos:R:3 pbc="T T T"
Y -2.081 -1.185 2.688
Y -4.693 -7.772 2.533
Y -1.319 -3.349 -0.037
Y -5.454 -5.608 5.258
Y -4.642 -2.060 0.339
Y -2.132 -6.896 4.882
Pr -3.312 1.294 0.381
Pr -2.548 -0.876 -2.351
Ho -3.387 -4.478 2.610
Ho -2.621 -6.653 -0.127
Ho -4.152 -2.304 5.347
Tm 0.000 0.000 0.000
```

Computed properties:
- total energy (eV/atom) = -5.525
- space-group type = C2/m (12)
- crystal system = monoclinic

# PrHoTmZr

A relaxed PrHoTmZr crystal (PBE, Alexandria).

extended XYZ file:
```
4
Lattice="-5.141 -1.948 -0.363 -0.930 -5.416 0.408 -2.497 -2.038 4.469" Properties=species:S:1:pos:R:3 pbc="T T T"
Pr 0.000 0.000 0.000
Tm -6.426 -7.051 3.385
Zr -4.284 -4.700 2.257
Ho -2.142 -2.350 1.128
```

Computed properties:
- total energy (eV/atom) = -5.377
- space-group type = F-43m (216)
- crystal system = cubic

# Pr2Ho3Tm6Zr

A relaxed Pr2Ho3Tm6Zr crystal (PBE, Alexandria).

extended XYZ file:
```
12
Lattice="6.071 0.003 0.003 -3.032 5.260 0.003 -1.014 -1.755 11.412" Properties=species:S:1:pos:R:3 pbc="T T T"
Tm 2.049 3.548 2.838
Tm 3.014 1.791 8.579
Tm -0.989 1.717 2.839
Tm 1.981 0.002 2.839
Tm -0.023 -0.040 8.580
Tm 0.045 3.506 8.579
Ho -2.024 3.508 5.709
Ho 1.013 1.754 5.709
Ho 4.050 0.000 5.709
Pr 0.001 3.508 0.003
Pr 3.038 1.754 0.003
Zr 0.000 0.000 0.000
```

Computed properties:
- total energy (eV/atom) = -4.832
- space-group type = C2/m (12)
- crystal system = monoclinic